[1]
First-principles (GGA-PBE) data for LiHoBi after structural relaxation, as listed in the Open Quantum Materials Database.

Summary:
Its crystal system is cubic. The theoretical density comes out at 6.93 g/cm³. Its calculated volume is 30.43 A^3/atom.

Cell: 5.0543 5.0543 5.0543 Å, 60.00 60.00 60.00°
Fractional positions:
Bi  0.7500  0.7500  0.7500
Ho  0.0000  0.0000  0.0000
Li  0.2500  0.2500  0.2500

=====

[2]
First-principles (GGA-PBE) data for NaHfIn2Br6 after structural relaxation, as listed in the Open Quantum Materials Database.

Summary:
Its crystal system is cubic. The theoretical density comes out at 4.56 g/cm³. Its calculated volume is 33.14 A^3/atom.

Cell: 7.7676 7.7676 7.7676 Å, 60.00 60.00 60.00°
Last column: magnetic moment on the atom in μB.
Fractional positions:
Br  0.7599  0.2401  0.2401  0.00
Br  0.2401  0.7599  0.2401  0.00
Br  0.7599  0.7599  0.2401  -0.01
Br  0.7599  0.2401  0.7599  0.00
Br  0.2401  0.7599  0.7599  0.00
Br  0.2401  0.2401  0.7599  -0.01
Hf  0.0000  0.0000  0.0000  0.50
In  0.2500  0.2500  0.2500  0.04
In  0.7500  0.7500  0.7500  0.04
Na  0.5000  0.5000  0.5000  0.00

=====

[3]
First-principles (GGA-PBE) data for ScBePd after structural relaxation, as listed in the Open Quantum Materials Database.

Summary:
Its crystal system is cubic. The theoretical density comes out at 4.79 g/cm³. Its calculated volume is 18.55 A^3/atom.

Cell: 4.2856 4.2856 4.2856 Å, 60.00 60.00 60.00°
Fractional positions:
Be  0.2500  0.2500  0.2500
Pd  0.7500  0.7500  0.7500
Sc  0.0000  0.0000  0.0000

=====

[4]
First-principles (GGA-PBE) data for K2PbAu2O3 after structural relaxation, as listed in the Open Quantum Materials Database.

Summary:
Its crystal system is monoclinic. The theoretical density comes out at 7.24 g/cm³. Its calculated volume is 20.85 A^3/atom.

Cell: 6.3306 6.3306 7.7436 Å, 104.87 104.87 33.92°
Fractional positions:
Au  0.7236  0.7236  0.0602
Au  0.3572  0.3572  0.9533
K  0.3333  0.3333  0.4488
K  0.6146  0.6146  0.6272
O  0.1080  0.1080  0.3915
O  0.9541  0.9541  0.6664
O  0.8589  0.8589  0.7378
Pb  0.0503  0.0503  0.1149

=====

[5]
First-principles (GGA-PBE) data for TaSiNO after structural relaxation, as listed in the Open Quantum Materials Database.

Summary:
Its crystal system is orthorhombic. The theoretical density comes out at 9.07 g/cm³. Its calculated volume is 10.94 A^3/atom.

Cell: 3.0059 5.0338 5.7846 Å, 90.00 90.00 90.00°
Fractional positions:
N  0.0000  0.8855  0.3727
N  0.0000  0.3855  0.6273
O  0.5000  0.3710  0.2759
O  0.5000  0.8710  0.7241
Si  0.0000  0.5388  0.3453
Si  0.0000  0.0388  0.6547
Ta  0.5000  0.9588  0.0960
Ta  0.5000  0.4588  0.9040

=====

[6]
First-principles (GGA-PBE) data for GdSi2TcIr after structural relaxation, as listed in the Open Quantum Materials Database.

Summary:
Its crystal system is tetragonal. The theoretical density comes out at 9.73 g/cm³. Its calculated volume is 17.18 A^3/atom.

Cell: 5.6947 5.6947 5.6947 Å, 136.66 136.66 62.97°
Fractional positions:
Gd  0.0000  0.0000  0.0000
Ir  0.2500  0.7500  0.5000
Si  0.3708  0.3708  0.0000
Si  0.6292  0.6292  0.0000
Tc  0.7500  0.2500  0.5000

=====

Per-record E, eV/atom: -3.6858 -3.6673 -4.8190 -3.9417 -8.5927 -7.8418